SrVO3 | GGA+U | optimized geometry

total energy	-288.156	eV for the cell shown

Lattice parameters (Å, degrees): 10.7409 9.9983 5.1847 90.00 93.67 90.00
With the nearest neighbours (Å) after each atom.
Space group C2/c (No. 15)
Asymmetric unit:
Sr 0.2111 0.1096 0.2965  5 O 2.39-2.58
V 0.0000 0.2448 0.7500  4 O 1.83-1.99
V 0.0000 0.4228 0.2500  6 O 1.90-2.02
O 0.0951 0.2945 0.4469  2 V 1.90-1.99
O 0.0967 0.4280 0.9329  2 V 2.00-2.02
O 0.1256 0.1270 0.8411  1 V 1.83